Record 1
First-principles (GGA-PBE) data for an optimized crystal structure of MnCrSb2, as listed in the Alexandria database.

Unit cell a=3.312 b=3.312 c=7.414 alpha=90.00 beta=90.00 gamma=90.00
Positions (direct):
Mn  0.000  0.000  0.000
Cr  0.000  0.000  0.500
Sb  0.500  0.500  0.246
Sb  0.500  0.500  0.754

E above lowest polymorph   0.3155 eV per atom
Formation energy without anion corrections   33 kJ per mole of atoms
DFT total energy   -25.7 eV/f.u.
Space-group type   P4/mmm, No. 123



Record 2
First-principles (GGA-PBE) data for an optimized crystal structure of YSc2Zn, as listed in the Alexandria database.

Unit cell a=3.416 b=4.772 c=6.120 alpha=90.00 beta=105.55 gamma=90.00
Positions (direct):
Y  0.000  0.000  0.000
Sc  0.388  0.500  0.724
Sc  0.612  0.500  0.276
Zn  0.000  0.000  0.500

Formation enthalpy at 0 K   -0.043 eV per atom
DFT total energy   -20.6 eV/f.u.
Space-group type   P2/m, No. 10



Record 3
First-principles (GGA-PBE) data for an optimized crystal structure of DySc2Pa, as listed in the Alexandria database.

Unit cell a=7.490 b=7.490 c=7.490 alpha=90.00 beta=90.00 gamma=90.00
Positions (direct):
Dy  0.000  0.000  0.000
Dy  0.000  0.500  0.500
Dy  0.500  0.000  0.500
Dy  0.500  0.500  0.000
Sc  0.250  0.250  0.250
Sc  0.250  0.250  0.750
Sc  0.250  0.750  0.250
Sc  0.250  0.750  0.750
Sc  0.750  0.250  0.250
Sc  0.750  0.250  0.750
Sc  0.750  0.750  0.250
Sc  0.750  0.750  0.750
Pa  0.000  0.000  0.500
Pa  0.000  0.500  0.000
Pa  0.500  0.000  0.000
Pa  0.500  0.500  0.500

Formation enthalpy at 0 K   0.219 eV per atom
E above lowest polymorph   0.1467 eV per atom
DFT total energy   -25.9 eV/f.u.
Space-group type   Fm-3m, No. 225



Record 4
First-principles (GGA-PBE) data for an optimized crystal structure of LiPrGe2Au4, as listed in the Alexandria database.

Unit cell a=9.035 b=9.035 c=9.035 alpha=29.35 beta=29.35 gamma=29.35
Positions (direct):
Li  0.000  0.000  0.000
Pr  0.500  0.500  0.500
Ge  0.257  0.257  0.257
Ge  0.743  0.743  0.743
Au  0.102  0.102  0.102
Au  0.362  0.362  0.362
Au  0.638  0.638  0.638
Au  0.898  0.898  0.898

Formation enthalpy at 0 K   -0.448 eV per atom
DFT total energy   -32.6 eV/f.u.
Space-group type   R-3m, No. 166



What is the formula in the second record?
YSc2Zn



Among the records above, which one has the highest DFT total energy?
YSc2Zn



Please write out number 1 again, unchanged.
First-principles (GGA-PBE) data for an optimized crystal structure of MnCrSb2, as listed in the Alexandria database.

Unit cell a=3.312 b=3.312 c=7.414 alpha=90.00 beta=90.00 gamma=90.00
Positions (direct):
Mn  0.000  0.000  0.000
Cr  0.000  0.000  0.500
Sb  0.500  0.500  0.246
Sb  0.500  0.500  0.754

E above lowest polymorph   0.3155 eV per atom
Formation energy without anion corrections   33 kJ per mole of atoms
DFT total energy   -25.7 eV/f.u.
Space-group type   P4/mmm, No. 123



Copy entry 1 word for word.
First-principles (GGA-PBE) data for an optimized crystal structure of MnCrSb2, as listed in the Alexandria database.

Unit cell a=3.312 b=3.312 c=7.414 alpha=90.00 beta=90.00 gamma=90.00
Positions (direct):
Mn  0.000  0.000  0.000
Cr  0.000  0.000  0.500
Sb  0.500  0.500  0.246
Sb  0.500  0.500  0.754

E above lowest polymorph   0.3155 eV per atom
Formation energy without anion corrections   33 kJ per mole of atoms
DFT total energy   -25.7 eV/f.u.
Space-group type   P4/mmm, No. 123